Material: Na3Cd8In3
Method: DFT, PBE
State: relaxed

Cell: 4.7912 11.4550 13.2169 Å, 90.00 90.00 90.00°
With the nearest neighbours (Å) after each atom.
Space group Immm (No. 71)
Inequivalent atoms, fractional coordinates:
Na 0.0000 0.0000 0.0000 (multiplicity 2)  8 Cd 3.30
Na 0.0000 0.0000 0.2840 (multiplicity 4)  10 Cd 3.42-3.59, 4 In 3.44-3.73, 1 Na 3.75
Cd 0.0000 0.2772 0.1570 (multiplicity 8)  3 Cd 2.98-2.99, 3 In 3.23-3.29
Cd 0.0000 0.3762 0.3659 (multiplicity 8)  4 Cd 2.84-2.99, 1 In 2.98
In 0.0000 0.1675 0.5000 (multiplicity 4)  6 Cd 2.98-3.23, 2 In 3.07
In 0.0000 0.5000 0.0000 (multiplicity 2)  4 In 3.07, 4 Cd 3.29

Results
Uncorrected energy = -40.682 eV for the cell shown